1.
Entry from Alexandria via LeMat-Bulk: a geometry-optimized Sb3IrO structure (GGA-PBE).

The crystal system is cubic. The total DFT energy (no corrections) comes out at -25.0 eV per cell. As for the energy above the most stable polymorph in this dataset: 0.0 meV/atom. For the raw formation energy, the calculation gives 239 meV/atom. For the volume, the calculation gives 19.9 Å³/atom.

abc: 4.6354 4.6354 4.6354
angles: 90.00 90.00 90.00
Fractional positions:
Sb1 0.0000 0.0000 0.5000
Sb2 0.0000 0.5000 0.0000
Sb3 0.5000 0.0000 0.0000
Ir1 0.5000 0.5000 0.5000
O1 0.0000 0.0000 0.0000

=====

2.
Entry from Alexandria via LeMat-Bulk: a geometry-optimized SbIrO3 structure (GGA-PBE).

The crystal system is cubic. The total DFT energy (no corrections) comes out at -26.9 eV per cell. For the raw formation energy, the calculation gives 189 meV/atom. For the volume, the calculation gives 12.7 Å³/atom.

abc: 3.9921 3.9921 3.9921
angles: 90.00 90.00 90.00
Fractional positions:
Sb1 0.0000 0.0000 0.0000
Ir1 0.5000 0.5000 0.5000
O1 0.0000 0.0000 0.5000
O2 0.0000 0.5000 0.0000
O3 0.5000 0.0000 0.0000

=====

3.
Entry from Alexandria via LeMat-Bulk: a geometry-optimized SbIrO2 structure (GGA-PBE).

The crystal system is trigonal. The total DFT energy (no corrections) comes out at -23.7 eV per cell. For the raw formation energy, the calculation gives -197 meV/atom. For the volume, the calculation gives 13.7 Å³/atom.

abc: 7.4629 7.4629 7.4629
angles: 22.78 22.78 22.78
Fractional positions:
Sb1 0.0000 0.0000 0.0000
Ir1 0.5000 0.5000 0.5000
O1 0.4129 0.4129 0.4129
O2 0.5871 0.5871 0.5871

=====

4.
Entry from Alexandria via LeMat-Bulk: a geometry-optimized SbIrO2 structure (GGA-PBE).

The crystal system is trigonal. The total DFT energy (no corrections) comes out at -24.6 eV per cell. For the raw formation energy, the calculation gives -431 meV/atom. For the volume, the calculation gives 14.7 Å³/atom.

abc: 6.6589 6.6589 6.6589
angles: 28.33 28.33 28.33
Fractional positions:
Sb1 0.0000 0.0000 0.0000
Ir1 0.5000 0.5000 0.5000
O1 0.1199 0.1199 0.1199
O2 0.8801 0.8801 0.8801

=====

5.
Entry from Alexandria via LeMat-Bulk: a geometry-optimized Sb2IrO8 structure (GGA-PBE).

The crystal system is monoclinic. The total DFT energy (no corrections) comes out at -65.3 eV per cell. For the raw formation energy, the calculation gives -775 meV/atom. For the volume, the calculation gives 15.0 Å³/atom.

abc: 5.4804 5.4804 6.5607
angles: 96.85 96.85 120.41
Fractional positions:
Sb1 0.1815 0.8185 0.0000
Sb2 0.8185 0.1815 0.0000
Ir1 0.0000 0.0000 0.5000
O1 0.0444 0.0444 0.8114
O2 0.1790 0.5316 0.1644
O3 0.1823 0.8177 0.5000
O4 0.4684 0.8210 0.8356
O5 0.5316 0.1790 0.1644
O6 0.8177 0.1823 0.5000
O7 0.8210 0.4684 0.8356
O8 0.9556 0.9556 0.1886

=====

6.
Entry from Alexandria via LeMat-Bulk: a geometry-optimized ScSbIrO6 structure (GGA-PBE).

The crystal system is trigonal. The total DFT energy (no corrections) comes out at -128.2 eV per cell. For the raw formation energy, the calculation gives -1670 meV/atom. For the volume, the calculation gives 11.5 Å³/atom.

abc: 5.1340 5.1340 9.0928
angles: 90.00 90.00 120.00
Fractional positions:
Sc1 0.3333 0.6667 0.2500
Sc2 0.6667 0.3333 0.7500
Sb1 0.0000 0.0000 0.0000
Sb2 0.0000 0.0000 0.5000
Ir1 0.3333 0.6667 0.7500
Ir2 0.6667 0.3333 0.2500
O1 0.0105 0.3383 0.6237
O2 0.0105 0.6722 0.8763
O3 0.3278 0.3383 0.8763
O4 0.3278 0.9895 0.6237
O5 0.3383 0.0105 0.1237
O6 0.3383 0.3278 0.3763
O7 0.6617 0.6722 0.6237
O8 0.6617 0.9895 0.8763
O9 0.6722 0.0105 0.3763
O10 0.6722 0.6617 0.1237
O11 0.9895 0.3278 0.1237
O12 0.9895 0.6617 0.3763

=====

7.
Entry from Alexandria via LeMat-Bulk: a geometry-optimized Sb2IrSeO structure (GGA-PBE).

The crystal system is tetragonal. The total DFT energy (no corrections) comes out at -23.9 eV per cell. For the raw formation energy, the calculation gives 335 meV/atom. For the volume, the calculation gives 20.4 Å³/atom.

abc: 5.1492 5.1492 3.8459
angles: 90.00 90.00 90.00
Fractional positions:
Sb1 0.0000 0.5000 0.0000
Sb2 0.5000 0.0000 0.0000
Ir1 0.0000 0.0000 0.5000
Se1 0.5000 0.5000 0.5000
O1 0.0000 0.0000 0.0000

=====

8.
Entry from Alexandria via LeMat-Bulk: a geometry-optimized SiSbIrO2 structure (GGA-PBE).

The crystal system is tetragonal. The total DFT energy (no corrections) comes out at -28.5 eV per cell. For the raw formation energy, the calculation gives -27 meV/atom. For the volume, the calculation gives 16.1 Å³/atom.

abc: 3.8382 3.8382 5.4801
angles: 90.00 90.00 90.00
Fractional positions:
Si1 0.0000 0.0000 0.0000
Sb1 0.5000 0.5000 0.0000
Ir1 0.0000 0.0000 0.5000
O1 0.0000 0.5000 0.5000
O2 0.5000 0.0000 0.5000

=====

9.
Entry from Alexandria via LeMat-Bulk: a geometry-optimized SrSbIrO6 structure (GGA-PBE).

The crystal system is trigonal. The total DFT energy (no corrections) comes out at -117.0 eV per cell. For the raw formation energy, the calculation gives -1565 meV/atom. For the volume, the calculation gives 14.8 Å³/atom.

abc: 5.3392 5.3392 10.8263
angles: 90.00 90.00 120.00
Fractional positions:
Sr1 0.0000 0.0000 0.0000
Sr2 0.0000 0.0000 0.5000
Sb1 0.3333 0.6667 0.2500
Sb2 0.6667 0.3333 0.7500
Ir1 0.3333 0.6667 0.7500
Ir2 0.6667 0.3333 0.2500
O1 0.0064 0.3759 0.6485
O2 0.0064 0.6305 0.8515
O3 0.3695 0.3759 0.8515
O4 0.3695 0.9936 0.6485
O5 0.3759 0.0064 0.1485
O6 0.3759 0.3695 0.3515
O7 0.6241 0.6305 0.6485
O8 0.6241 0.9936 0.8515
O9 0.6305 0.0064 0.3515
O10 0.6305 0.6241 0.1485
O11 0.9936 0.3695 0.1485
O12 0.9936 0.6241 0.3515

=====

10.
Entry from Alexandria via LeMat-Bulk: a geometry-optimized Sb2TeIrO structure (GGA-PBE).

The crystal system is tetragonal. The total DFT energy (no corrections) comes out at -23.3 eV per cell. As for the energy above the most stable polymorph in this dataset: 0.0 meV/atom. For the raw formation energy, the calculation gives 376 meV/atom. For the volume, the calculation gives 20.3 Å³/atom.

abc: 4.6059 4.6059 4.7794
angles: 90.00 90.00 90.00
Fractional positions:
Sb1 0.0000 0.5000 0.0000
Sb2 0.5000 0.0000 0.0000
Te1 0.0000 0.0000 0.5000
Ir1 0.5000 0.5000 0.5000
O1 0.0000 0.0000 0.0000

=====

11.
Entry from Alexandria via LeMat-Bulk: a geometry-optimized Sb2TeIrO structure (GGA-PBE).

The crystal system is tetragonal. The total DFT energy (no corrections) comes out at -20.7 eV per cell. As for the energy above the most stable polymorph in this dataset: 519.3 meV/atom. For the raw formation energy, the calculation gives 895 meV/atom. For the volume, the calculation gives 27.7 Å³/atom.

abc: 5.1556 5.1556 5.2162
angles: 90.00 90.00 90.00
Fractional positions:
Sb1 0.0000 0.5000 0.0000
Sb2 0.5000 0.0000 0.0000
Te1 0.0000 0.0000 0.5000
Ir1 0.0000 0.0000 0.0000
O1 0.5000 0.5000 0.5000

=====

12.
Entry from Alexandria via LeMat-Bulk: a geometry-optimized ZnSbIrO6 structure (GGA-PBE).

The crystal system is tetragonal. The total DFT energy (no corrections) comes out at -107.7 eV per cell. For the raw formation energy, the calculation gives -1093 meV/atom. For the volume, the calculation gives 11.5 Å³/atom.

abc: 4.6688 4.6688 9.5136
angles: 90.00 90.00 90.00
Fractional positions:
Zn1 0.0000 0.0000 0.0000
Zn2 0.5000 0.5000 0.5000
Sb1 0.0000 0.0000 0.6677
Sb2 0.5000 0.5000 0.1677
Ir1 0.0000 0.0000 0.3345
Ir2 0.5000 0.5000 0.8345
O1 0.1884 0.1884 0.4959
O2 0.1939 0.1939 0.1716
O3 0.2034 0.2034 0.8297
O4 0.2966 0.7034 0.3297
O5 0.3061 0.6939 0.6716
O6 0.3116 0.6884 0.9959
O7 0.6884 0.3116 0.9959
O8 0.6939 0.3061 0.6716
O9 0.7034 0.2966 0.3297
O10 0.7966 0.7966 0.8297
O11 0.8061 0.8061 0.1716
O12 0.8116 0.8116 0.4959

=====

13.
Entry from Alexandria via LeMat-Bulk: a geometry-optimized Sc6IrO12 structure (GGA-PBE).

The crystal system is trigonal. The total DFT energy (no corrections) comes out at -161.6 eV per cell. For the raw formation energy, the calculation gives -2909 meV/atom. For the volume, the calculation gives 11.6 Å³/atom.

abc: 6.1328 6.1328 6.1328
angles: 99.03 99.03 99.03
Fractional positions:
Sc1 0.1092 0.8273 0.6447
Sc2 0.1727 0.3553 0.8908
Sc3 0.3553 0.8908 0.1727
Sc4 0.6447 0.1092 0.8273
Sc5 0.8273 0.6447 0.1092
Sc6 0.8908 0.1727 0.3553
Ir1 0.5000 0.5000 0.5000
O1 0.0805 0.9127 0.3221
O2 0.0873 0.6779 0.9195
O3 0.1934 0.4047 0.5443
O4 0.3221 0.0805 0.9127
O5 0.4047 0.5443 0.1934
O6 0.4557 0.8066 0.5953
O7 0.5443 0.1934 0.4047
O8 0.5953 0.4557 0.8066
O9 0.6779 0.9195 0.0873
O10 0.8066 0.5953 0.4557
O11 0.9127 0.3221 0.0805
O12 0.9195 0.0873 0.6779

=====

14.
Entry from Alexandria via LeMat-Bulk: a geometry-optimized Sc2IrO2 structure (GGA-PBE).

The crystal system is tetragonal. The total DFT energy (no corrections) comes out at -41.6 eV per cell. As for the energy above the most stable polymorph in this dataset: 0.0 meV/atom. For the raw formation energy, the calculation gives -2027 meV/atom. For the volume, the calculation gives 14.7 Å³/atom.

abc: 4.9472 4.9472 4.9472
angles: 127.84 127.84 76.88
Fractional positions:
Sc1 0.2500 0.7500 0.5000
Sc2 0.7500 0.2500 0.5000
Ir1 0.0000 0.0000 0.0000
O1 0.2641 0.2641 0.0000
O2 0.7359 0.7359 0.0000

=====

15.
Entry from Alexandria via LeMat-Bulk: a geometry-optimized Sc5Ir2O12 structure (GGA-PBE).

The crystal system is monoclinic. The total DFT energy (no corrections) comes out at -156.0 eV per cell. For the raw formation energy, the calculation gives -2481 meV/atom. For the volume, the calculation gives 11.5 Å³/atom.

abc: 6.5583 6.5583 7.0049
angles: 105.36 105.36 49.46
Fractional positions:
Sc1 0.0000 0.0000 0.0000
Sc2 0.2939 0.2939 0.1343
Sc3 0.3079 0.3079 0.6800
Sc4 0.6921 0.6921 0.3200
Sc5 0.7061 0.7061 0.8657
Ir1 0.2507 0.7493 0.5000
Ir2 0.7493 0.2507 0.5000
O1 0.0052 0.0052 0.2981
O2 0.0917 0.5621 0.4028
O3 0.0982 0.5979 0.9312
O4 0.4021 0.9018 0.0688
O5 0.4379 0.9083 0.5972
O6 0.4974 0.4974 0.7134
O7 0.5026 0.5026 0.2866
O8 0.5621 0.0917 0.4028
O9 0.5979 0.0982 0.9312
O10 0.9018 0.4021 0.0688
O11 0.9083 0.4379 0.5972
O12 0.9948 0.9948 0.7019

=====

16.
Entry from Alexandria via LeMat-Bulk: a geometry-optimized Sc3IrO structure (GGA-PBE).

The crystal system is cubic. The total DFT energy (no corrections) comes out at -40.6 eV per cell. For the raw formation energy, the calculation gives -1567 meV/atom. For the volume, the calculation gives 16.1 Å³/atom.

abc: 4.3166 4.3166 4.3166
angles: 90.00 90.00 90.00
Fractional positions:
Sc1 0.0000 0.0000 0.5000
Sc2 0.0000 0.5000 0.0000
Sc3 0.5000 0.0000 0.0000
Ir1 0.5000 0.5000 0.5000
O1 0.0000 0.0000 0.0000

=====

17.
Entry from Alexandria via LeMat-Bulk: a geometry-optimized Sc3IrO6 structure (GGA-PBE).

The crystal system is trigonal. The total DFT energy (no corrections) comes out at -170.3 eV per cell. For the raw formation energy, the calculation gives -2754 meV/atom. For the volume, the calculation gives 12.0 Å³/atom.

abc: 6.2209 6.2209 6.2209
angles: 91.72 91.72 91.72
Fractional positions:
Sc1 0.0608 0.7517 0.5707
Sc2 0.2483 0.4293 0.9392
Sc3 0.4293 0.9392 0.2483
Sc4 0.5707 0.0608 0.7517
Sc5 0.7517 0.5707 0.0608
Sc6 0.9392 0.2483 0.4293
Ir1 0.0000 0.0000 0.0000
Ir2 0.5000 0.5000 0.5000
O1 0.0275 0.6830 0.8966
O2 0.1034 0.9725 0.3170
O3 0.1861 0.4228 0.5950
O4 0.3170 0.1034 0.9725
O5 0.4050 0.8139 0.5772
O6 0.4228 0.5950 0.1861
O7 0.5772 0.4050 0.8139
O8 0.5950 0.1861 0.4228
O9 0.6830 0.8966 0.0275
O10 0.8139 0.5772 0.4050
O11 0.8966 0.0275 0.6830
O12 0.9725 0.3170 0.1034

=====

18.
Entry from Alexandria via LeMat-Bulk: a geometry-optimized Sc4IrO structure (GGA-PBE).

The crystal system is monoclinic. The total DFT energy (no corrections) comes out at -93.2 eV per cell. For the raw formation energy, the calculation gives -1239 meV/atom. For the volume, the calculation gives 18.0 Å³/atom.

abc: 6.8535 6.8535 6.3801
angles: 105.91 105.91 48.96
Fractional positions:
Sc1 0.0019 0.8083 0.5450
Sc2 0.1917 0.9981 0.9550
Sc3 0.2463 0.4011 0.8632
Sc4 0.4011 0.2463 0.3632
Sc5 0.5989 0.7537 0.6368
Sc6 0.7537 0.5989 0.1368
Sc7 0.8083 0.0019 0.0450
Sc8 0.9981 0.1917 0.4550
Ir1 0.3170 0.6830 0.2500
Ir2 0.6830 0.3170 0.7500
O1 0.0000 0.5000 0.5000
O2 0.5000 0.0000 0.0000

=====

19.
Entry from Alexandria via LeMat-Bulk: a geometry-optimized Sc4Ir2O structure (GGA-PBE).

The crystal system is tetragonal. The total DFT energy (no corrections) comes out at -57.3 eV per cell. For the raw formation energy, the calculation gives -1331 meV/atom. For the volume, the calculation gives 17.6 Å³/atom.

abc: 7.5968 7.5968 7.5968
angles: 147.88 147.88 46.06
Fractional positions:
Sc1 0.0000 0.5000 0.5000
Sc2 0.1776 0.1776 0.0000
Sc3 0.5000 0.0000 0.5000
Sc4 0.8224 0.8224 0.0000
Ir1 0.3655 0.3655 0.0000
Ir2 0.6345 0.6345 0.0000
O1 0.0000 0.0000 0.0000

=====

20.
Entry from Alexandria via LeMat-Bulk: a geometry-optimized Sc3IrO structure (GGA-PBE).

The crystal system is monoclinic. The total DFT energy (no corrections) comes out at -81.1 eV per cell. For the raw formation energy, the calculation gives -1546 meV/atom. For the volume, the calculation gives 16.6 Å³/atom.

abc: 7.1033 3.3051 7.4407
angles: 90.00 107.67 90.00
Fractional positions:
Sc1 0.0696 0.0000 0.3232
Sc2 0.3058 0.0000 0.0429
Sc3 0.3273 0.5000 0.6841
Sc4 0.6727 0.5000 0.3159
Sc5 0.6942 0.0000 0.9571
Sc6 0.9304 0.0000 0.6768
Ir1 0.0000 0.5000 0.0000
Ir2 0.5000 0.0000 0.5000
O1 0.0000 0.5000 0.5000
O2 0.5000 0.5000 0.0000